# CaMgAsBr, optimized geometry, DFT PBE
data_CaMgAsBr
_symmetry_space_group_name_H-M 'R -3 m'
_symmetry_Int_Tables_number 166
_symmetry_space_group_name_Hall '-R 3 2"'
_cell_length_a 4.3610
_cell_length_b 4.3610
_cell_length_c 41.8712
_cell_angle_alpha 90.00
_cell_angle_beta 90.00
_cell_angle_gamma 120.00
loop_
_atom_site_label
_atom_site_fract_x
_atom_site_fract_y
_atom_site_fract_z
Ca1 0.0000 0.0000 0.0861
Mg1 0.0000 0.0000 0.3106
As1 0.0000 0.0000 0.3763
Br1 0.0000 0.0000 0.2112
# N(E_F) (states/eV/f.u.): 0.0
# Total moment (μB/cell): 0.00
# Raw total energy (eV/cell): -92.05